No. 1
SrTc2Sb after structural relaxation. Source: Alexandria, functional PBE-GGA.

Computed properties:
Symmetry: P4/mmm (123)
Crystal system: tetragonal
Formation energy from raw total energies, eV/atom: 0.51

a = 3.4795 Å, b = 3.4795 Å, c = 7.0578 Å
α = 90.00°, β = 90.00°, γ = 90.00°
Last column: nearest neighbours and their distance in Å.
Fractional positions:
Sr1 0.0000 0.0000 0.0000  8 Tc 3.31, 4 Sr 3.48, 2 Sb 3.53
Tc1 0.5000 0.5000 0.3143  1 Tc 2.62, 4 Sb 2.79
Tc2 0.5000 0.5000 0.6857  1 Tc 2.62, 4 Sb 2.79
Sb1 0.0000 0.0000 0.5000  8 Tc 2.79

=====

No. 2
SrTc2Sb after structural relaxation. Source: Alexandria, functional PBE-GGA.

Computed properties:
Symmetry: R3m (160)
Crystal system: trigonal
Formation energy from raw total energies, eV/atom: -0.05

a = 4.3098 Å, b = 4.3098 Å, c = 18.3265 Å
α = 90.00°, β = 90.00°, γ = 120.00°
Last column: nearest neighbours and their distance in Å.
Fractional positions:
Sr1 0.0000 0.0000 0.0000  6 Tc 3.37-3.64, 3 Sb 3.40
Sr2 0.3333 0.6667 0.6667  6 Tc 3.37-3.64, 3 Sb 3.40
Sr3 0.6667 0.3333 0.3333  6 Tc 3.37-3.64, 3 Sb 3.40
Tc1 0.0000 0.0000 0.4783  3 Tc 2.52, 3 Sb 2.74
Tc2 0.0000 0.0000 0.7909  3 Tc 2.52
Tc3 0.3333 0.6667 0.1450  3 Tc 2.52, 3 Sb 2.74
Tc4 0.3333 0.6667 0.4575  3 Tc 2.52
Tc5 0.6667 0.3333 0.1242  3 Tc 2.52
Tc6 0.6667 0.3333 0.8116  3 Tc 2.52, 3 Sb 2.74
Sb1 0.0000 0.0000 0.2072  6 Tc 2.74-2.92
Sb2 0.3333 0.6667 0.8738  6 Tc 2.74-2.92
Sb3 0.6667 0.3333 0.5405  6 Tc 2.74-2.92

=====

No. 3
SrTc2Sb after structural relaxation. Source: Alexandria, functional PBE-GGA.

Computed properties:
Symmetry: C2/m (12)
Crystal system: monoclinic
Formation energy from raw total energies, eV/atom: 0.12

a = 8.0846 Å, b = 4.5618 Å, c = 6.3331 Å
α = 90.00°, β = 115.33°, γ = 90.00°
Last column: nearest neighbours and their distance in Å.
Fractional positions:
Sr1 0.0000 0.0000 0.0000  2 Tc 3.04
Sr2 0.5000 0.5000 0.0000  2 Tc 3.04
Tc1 0.1822 0.0000 0.5313  3 Tc 2.63-2.80, 3 Sb 2.66-2.68
Tc2 0.3178 0.5000 0.4687  3 Tc 2.63-2.80, 3 Sb 2.66-2.68
Tc3 0.6822 0.5000 0.5313  3 Tc 2.63-2.80, 3 Sb 2.66-2.68
Tc4 0.8178 0.0000 0.4687  3 Tc 2.63-2.80, 3 Sb 2.66-2.68
Sb1 0.0000 0.5000 0.5000  6 Tc 2.66-2.68
Sb2 0.5000 0.0000 0.5000  6 Tc 2.66-2.68

=====

No. 4
SrTc2Sb2 after structural relaxation. Source: Alexandria, functional PBE-GGA.

Computed properties:
Symmetry: I4/mmm (139)
Crystal system: tetragonal
Formation energy from raw total energies, eV/atom: -0.17

a = 4.5572 Å, b = 4.5572 Å, c = 11.3733 Å
α = 90.00°, β = 90.00°, γ = 90.00°
Last column: nearest neighbours and their distance in Å.
Fractional positions:
Sr1 0.0000 0.0000 0.0000  8 Sb 3.57, 8 Tc 3.64
Sr2 0.5000 0.5000 0.5000  8 Sb 3.57, 8 Tc 3.64
Tc1 0.0000 0.5000 0.2500  4 Sb 2.62
Tc2 0.0000 0.5000 0.7500  4 Sb 2.62
Tc3 0.5000 0.0000 0.2500  4 Sb 2.62
Tc4 0.5000 0.0000 0.7500  4 Sb 2.62
Sb1 0.0000 0.0000 0.3646  4 Tc 2.62
Sb2 0.0000 0.0000 0.6354  4 Tc 2.62
Sb3 0.5000 0.5000 0.1354  4 Tc 2.62
Sb4 0.5000 0.5000 0.8646  4 Tc 2.62

=====

No. 5
SrTcSb after structural relaxation. Source: Alexandria, functional PBE-GGA.

Computed properties:
Polymorph energy (0 for the lowest one), eV per atom: 0.000
Symmetry: I4mm (107)
Crystal system: tetragonal
Formation energy from raw total energies, eV/atom: -0.06

a = 3.5268 Å, b = 3.5268 Å, c = 11.7135 Å
α = 90.00°, β = 90.00°, γ = 90.00°
Last column: nearest neighbours and their distance in Å.
Fractional positions:
Sr1 0.0000 0.0000 0.0000  5 Sb 3.36-3.53, 5 Tc 3.37-3.59, 4 Sr 3.53
Sr2 0.5000 0.5000 0.5000  5 Sb 3.36-3.53, 5 Tc 3.37-3.59, 4 Sr 3.53
Tc1 0.0000 0.0000 0.3068  4 Sb 2.72
Tc2 0.5000 0.5000 0.8068  4 Sb 2.72
Sb1 0.0000 0.0000 0.7132  4 Tc 2.72
Sb2 0.5000 0.5000 0.2132  4 Tc 2.72

=====

No. 6
SrSbTe2 after structural relaxation. Source: Alexandria, functional PBE-GGA.

Computed properties:
Symmetry: R-3m (166)
Crystal system: trigonal
Formation energy from raw total energies, eV/atom: -0.30

a = 4.4841 Å, b = 4.4841 Å, c = 29.4497 Å
α = 90.00°, β = 90.00°, γ = 120.00°
Last column: nearest neighbours and their distance in Å.
Fractional positions:
Sr1 0.0000 0.0000 0.0000  2 Te 3.21
Sr2 0.3333 0.6667 0.6667  2 Te 3.21
Sr3 0.6667 0.3333 0.3333  2 Te 3.21
Sb1 0.0000 0.0000 0.5000  6 Te 3.09
Sb2 0.3333 0.6667 0.1667  6 Te 3.09
Sb3 0.6667 0.3333 0.8333  6 Te 3.09
Te1 0.0000 0.0000 0.1091  3 Sb 3.09, 1 Sr 3.21
Te2 0.0000 0.0000 0.8909  3 Sb 3.09, 1 Sr 3.21
Te3 0.3333 0.6667 0.5575  3 Sb 3.09, 1 Sr 3.21
Te4 0.3333 0.6667 0.7758  3 Sb 3.09, 1 Sr 3.21
Te5 0.6667 0.3333 0.2242  3 Sb 3.09, 1 Sr 3.21
Te6 0.6667 0.3333 0.4425  3 Sb 3.09, 1 Sr 3.21

=====

No. 7
SrSb2Te after structural relaxation. Source: Alexandria, functional PBE-GGA.

Computed properties:
Symmetry: P4/mmm (123)
Crystal system: tetragonal
Formation energy from raw total energies, eV/atom: -0.15

a = 3.8327 Å, b = 3.8327 Å, c = 8.2884 Å
α = 90.00°, β = 90.00°, γ = 90.00°
Last column: nearest neighbours and their distance in Å.
Fractional positions:
Sr1 0.0000 0.0000 0.0000  8 Sb 3.51, 4 Sr 3.83
Sb1 0.5000 0.5000 0.2688  4 Te 3.32, 4 Sr 3.51
Sb2 0.5000 0.5000 0.7312  4 Te 3.32, 4 Sr 3.51
Te1 0.0000 0.0000 0.5000  8 Sb 3.32

=====

No. 8
Sr4SbTe2 after structural relaxation. Source: Alexandria, functional PBE-GGA.

Computed properties:
Symmetry: I4_1/amd (141)
Crystal system: tetragonal
Formation energy from raw total energies, eV/atom: -1.26

a = 8.9860 Å, b = 8.9860 Å, c = 8.9860 Å
α = 109.08°, β = 109.08°, γ = 110.25°
Last column: nearest neighbours and their distance in Å.
Fractional positions:
Sr1 0.1882 0.2483 0.5602  3 Te 3.27-3.33, 1 Sb 3.30
Sr2 0.1882 0.6280 0.9398  3 Te 3.27-3.33, 1 Sb 3.30
Sr3 0.2483 0.1882 0.0602  3 Te 3.27-3.33, 1 Sb 3.30
Sr4 0.3720 0.8118 0.5602  3 Te 3.27-3.33, 1 Sb 3.30
Sr5 0.6280 0.1882 0.4398  3 Te 3.27-3.33, 1 Sb 3.30
Sr6 0.7517 0.8118 0.9398  3 Te 3.27-3.33, 1 Sb 3.30
Sr7 0.8118 0.3720 0.0602  3 Te 3.27-3.33, 1 Sb 3.30
Sr8 0.8118 0.7517 0.4398  3 Te 3.27-3.33, 1 Sb 3.30
Sb1 0.1250 0.8750 0.2500  4 Sr 3.30
Sb2 0.8750 0.1250 0.7500  4 Sr 3.30
Te1 0.0000 0.5000 0.5000  6 Sr 3.27-3.33
Te2 0.5000 0.0000 0.0000  6 Sr 3.27-3.33
Te3 0.5000 0.5000 0.0000  6 Sr 3.27-3.33
Te4 0.5000 0.5000 0.5000  6 Sr 3.27-3.33

=====

Q: What is the formula in the sixth record?
A: SrSbTe2

=====

Copy entry 7 word for word.
SrSb2Te after structural relaxation. Source: Alexandria, functional PBE-GGA.

Computed properties:
Symmetry: P4/mmm (123)
Crystal system: tetragonal
Formation energy from raw total energies, eV/atom: -0.15

a = 3.8327 Å, b = 3.8327 Å, c = 8.2884 Å
α = 90.00°, β = 90.00°, γ = 90.00°
Last column: nearest neighbours and their distance in Å.
Fractional positions:
Sr1 0.0000 0.0000 0.0000  8 Sb 3.51, 4 Sr 3.83
Sb1 0.5000 0.5000 0.2688  4 Te 3.32, 4 Sr 3.51
Sb2 0.5000 0.5000 0.7312  4 Te 3.32, 4 Sr 3.51
Te1 0.0000 0.0000 0.5000  8 Sb 3.32